# 1
The following is a PBE calculation of a relaxed structure of PuClO2, from the Alexandria database.

The structure belongs to space group Cmcm (No. 63); the cell edges are 3.4535, 10.5319 and 7.0264 Å and the angles 90.00°, 90.00° and 90.00°. Symmetry generates all atoms from Pu at (0.0000, 0.2002, 0.2500), Cl at (0.0000, 0.0579, 0.7500) and O at (0.0000, 0.3233, 0.5772).

Its electronic total energy is -8.7264 eV per atom. The energy above the most stable polymorph in this dataset is 0.024 eV per atom. The value obtained for the uncorrected formation energy is -2.2026 eV per atom.

=====

# 2
The following is a PBE calculation of a relaxed structure of Rb2Cu2I5, from the Alexandria database.

The structure belongs to space group C2/m (No. 12); the cell edges are 14.6675, 5.6878 and 8.7243 Å and the angles 90.00°, 99.83° and 90.00°. Symmetry generates all atoms from Rb at (0.0992, 0.0000, 0.2899), Cu at (0.1650, 0.5000, 0.8784), I at (0.0000, 0.5000, 0.0000), I at (0.1416, 0.5000, 0.5789) and I at (0.1906, 0.0000, 0.8992).

Its electronic total energy is -2.6813 eV per atom. The value obtained for the uncorrected formation energy is -0.6948 eV per atom.

=====

# 3
The following is a PBE calculation of a relaxed structure of AlPC, from the Alexandria database.

The structure belongs to space group P-1 (No. 2); the cell edges are 3.9315, 5.0402 and 5.7898 Å and the angles 91.48°, 90.08° and 112.71°. Symmetry generates all atoms from Al at (0.1813, 0.3657, 0.2078), P at (0.1704, 0.3341, 0.7868) and C at (0.0017, 0.0050, 0.3827).

Its formation enthalpy at 0 K is 91 meV per atom. Its electronic total energy is -6.0349 eV per atom. The energy above the most stable polymorph in this dataset is 0.105 eV per atom.

=====

# 4
The following is a PBE calculation of a relaxed structure of Nd2Zn3GaCu4, from the Alexandria database.

The structure belongs to space group P-4m2 (No. 115); the cell edges are 4.1559, 4.1559 and 10.4626 Å and the angles 90.00°, 90.00° and 90.00°. Symmetry generates all atoms from Nd at (0.0000, 0.5000, 0.2480), Zn at (0.0000, 0.0000, 0.0000), Zn at (0.0000, 0.5000, 0.6294), Ga at (0.5000, 0.5000, 0.0000), Cu at (0.0000, 0.0000, 0.5000), Cu at (0.0000, 0.5000, 0.8652) and Cu at (0.5000, 0.5000, 0.5000).

Its formation enthalpy at 0 K is -265 meV per atom. Its electronic total energy is -3.5424 eV per atom.

=====

# 5
The following is a PBE calculation of a relaxed structure of Rb3AgO, from the Alexandria database.

The structure belongs to space group C2/m (No. 12); the cell edges are 19.1919, 4.4164 and 10.3253 Å and the angles 90.00°, 108.42° and 90.00°. Symmetry generates all atoms from Rb at (0.0776, 0.0000, 0.3493), Rb at (0.1610, 0.5000, 0.0806), Rb at (0.2266, 0.5000, 0.6182), Ag at (0.1249, 0.0000, 0.7906) and O at (0.1647, 0.5000, 0.3358).

Its electronic total energy is -2.6450 eV per atom. The value obtained for the uncorrected formation energy is -0.5026 eV per atom.

=====

# 6
The following is a PBE calculation of a relaxed structure of Ce2BePd3, from the Alexandria database.

The structure belongs to space group P6_3/mmc (No. 194); the cell edges are 5.5968, 5.5968 and 8.0127 Å and the angles 90.00°, 90.00° and 120.00°. Symmetry generates all atoms from Ce at (0.3333, 0.6667, 0.0684), Be at (0.0000, 0.0000, 0.0000) and Pd at (0.1640, 0.3281, 0.7500).

Its formation enthalpy at 0 K is -607 meV per atom. Its electronic total energy is -5.8023 eV per atom.

=====

# 7
The following is a PBE calculation of a relaxed structure of Pr2Dy6Ga, from the Alexandria database.

The structure belongs to space group C2/m (No. 12); the cell edges are 17.3281, 9.4048 and 3.5295 Å and the angles 90.00°, 90.23° and 90.00°. Symmetry generates all atoms from Pr at (0.1733, 0.0000, 0.4969), Dy at (0.0000, 0.2291, 0.5000), Dy at (0.1619, 0.3300, 0.9983) and Ga at (0.0000, 0.5000, 0.0000).

Its formation enthalpy at 0 K is 31 meV per atom. Its electronic total energy is -4.4354 eV per atom.

=====

# 8
The following is a PBE calculation of a relaxed structure of Zn8Ag2Au3, from the Alexandria database.

The structure belongs to space group R-3m (No. 166, hexagonal axes); the cell edges are 5.0380, 5.0380 and 29.5458 Å and the angles 90.00°, 90.00° and 120.00°. Symmetry generates all atoms from Zn at (0.0000, 0.0000, 0.2246), Zn at (0.0010, 0.5005, 0.2719), Ag at (0.0000, 0.0000, 0.1393), Au at (0.0000, 0.0000, 0.3152) and Au at (0.0000, 0.0000, 0.5000).

Its formation enthalpy at 0 K is -24 meV per atom. Its electronic total energy is -2.0027 eV per atom. The energy above the most stable polymorph in this dataset is 0.051 eV per atom.

=====

# 9
The following is a PBE calculation of a relaxed structure of SrCeTl2S4, from the Alexandria database.

The structure belongs to space group P2/m (No. 10); the cell edges are 7.3146, 4.2352 and 7.7946 Å and the angles 90.00°, 108.22° and 90.00°. Symmetry generates all atoms from Sr at (0.0000, 0.0000, 0.0000), Ce at (0.5000, 0.5000, 0.0000), Tl at (0.0000, 0.5000, 0.5000), Tl at (0.5000, 0.0000, 0.5000), S at (0.2632, 0.5000, 0.2055) and S at (0.2862, 0.0000, 0.7979).

Its electronic total energy is -4.9570 eV per atom. The value obtained for the uncorrected formation energy is -1.3497 eV per atom.

=====

# 10
The following is a PBE calculation of a relaxed structure of NdPdAu3, from the Alexandria database.

The structure belongs to space group C2/m (No. 12); the cell edges are 26.6771, 3.8966 and 4.1628 Å and the angles 90.00°, 98.76° and 90.00°. Symmetry generates all atoms from Nd at (0.0938, 0.0000, 0.3435), Pd at (0.1344, 0.5000, 0.8848), Au at (0.0336, 0.5000, 0.7826), Au at (0.2054, 0.5000, 0.4552) and Au at (0.2091, 0.0000, 0.9590).

Its formation enthalpy at 0 K is -497 meV per atom. Its electronic total energy is -4.4560 eV per atom. The energy above the most stable polymorph in this dataset is 0.000 eV per atom.

=====

# 11
The following is a PBE calculation of a relaxed structure of CaSiW2, from the Alexandria database.

The structure belongs to space group I4/mmm (No. 139); the cell edges are 3.9302, 3.9302 and 9.1333 Å and the angles 90.00°, 90.00° and 90.00°. Symmetry generates all atoms from Ca at (0.0000, 0.0000, 0.0000), Si at (0.0000, 0.0000, 0.5000) and W at (0.0000, 0.5000, 0.2500).

Its electronic total energy is -7.6405 eV per atom. The value obtained for the uncorrected formation energy is 0.6923 eV per atom.

=====

# 12
The following is a PBE calculation of a relaxed structure of CaMoCl2, from the Alexandria database.

The structure belongs to space group Immm (No. 71); the cell edges are 3.3822, 4.9798 and 12.3808 Å and the angles 90.00°, 90.00° and 90.00°. Symmetry generates all atoms from Ca at (0.0000, 0.0000, 0.0000), Mo at (0.0000, 0.0000, 0.5000) and Cl at (0.0000, 0.5000, 0.1452).

Its electronic total energy is -4.5541 eV per atom. The energy above the most stable polymorph in this dataset is 0.131 eV per atom. The value obtained for the uncorrected formation energy is -0.4226 eV per atom.

=====

# 13
The following is a PBE calculation of a relaxed structure of TlHg6Pb, from the Alexandria database.

The structure belongs to space group Cmmm (No. 65); the cell edges are 7.2606, 10.7560 and 5.7958 Å and the angles 90.00°, 90.00° and 90.00°. Symmetry generates all atoms from Tl at (0.0000, 0.0000, 0.0000), Hg at (0.0000, 0.2349, 0.5000), Hg at (0.2283, 0.5000, 0.5000), Hg at (0.2500, 0.2500, 0.0000) and Pb at (0.0000, 0.5000, 0.0000).

Its formation enthalpy at 0 K is 21 meV per atom. Its electronic total energy is -0.9649 eV per atom. The energy above the most stable polymorph in this dataset is 0.000 eV per atom.

=====

# 14
The following is a PBE calculation of a relaxed structure of ScBeIn3, from the Alexandria database.

The structure belongs to space group Pm-3m (No. 221); the cell edges are 4.8687, 4.8687 and 4.8687 Å and the angles 90.00°, 90.00° and 90.00°. Symmetry generates all atoms from Sc at (0.0000, 0.0000, 0.0000), Be at (0.5000, 0.5000, 0.5000) and In at (0.0000, 0.5000, 0.5000).

Its formation enthalpy at 0 K is 273 meV per atom. Its electronic total energy is -3.3815 eV per atom. The energy above the most stable polymorph in this dataset is 0.000 eV per atom.

=====

# 15
The following is a PBE calculation of a relaxed structure of K3CdGa, from the Alexandria database.

The structure belongs to space group Pm-3m (No. 221); the cell edges are 6.5402, 6.5402 and 6.5402 Å and the angles 90.00°, 90.00° and 90.00°. Symmetry generates all atoms from K at (0.0000, 0.0000, 0.5000), Cd at (0.5000, 0.5000, 0.5000) and Ga at (0.0000, 0.0000, 0.0000).

Its formation enthalpy at 0 K is 230 meV per atom. Its electronic total energy is -1.2165 eV per atom. The energy above the most stable polymorph in this dataset is 0.000 eV per atom.

=====

# 16
The following is a PBE calculation of a relaxed structure of Sm4Er3S8, from the Alexandria database.

The structure belongs to space group C2/m (No. 12); the cell edges are 11.1268, 11.1345 and 7.8620 Å and the angles 90.00°, 134.89° and 90.00°. Symmetry generates all atoms from Sm at (0.0000, 0.0000, 0.0000), Sm at (0.0000, 0.5000, 0.5000), Sm at (0.2500, 0.2500, 0.0000), Er at (0.0000, 0.5000, 0.0000), Er at (0.2500, 0.2500, 0.5000), S at (0.0000, 0.2463, 0.5000), S at (0.0000, 0.2543, 0.0000), S at (0.2489, 0.5000, 0.0068) and S at (0.2503, 0.0000, 0.5087).

Its electronic total energy is -6.3981 eV per atom. The value obtained for the uncorrected formation energy is -2.0257 eV per atom.

=====

# 17
The following is a PBE calculation of a relaxed structure of CaLaNiGe, from the Alexandria database.

The structure belongs to space group F-43m (No. 216); the cell edges are 7.2106, 7.2106 and 7.2106 Å and the angles 90.00°, 90.00° and 90.00°. Symmetry generates all atoms from Ca at (0.0000, 0.0000, 0.0000), La at (0.0000, 0.0000, 0.5000), Ni at (0.2500, 0.2500, 0.7500) and Ge at (0.2500, 0.2500, 0.2500).

Its formation enthalpy at 0 K is -393 meV per atom. Its electronic total energy is -4.7251 eV per atom.

=====

# 18
The following is a PBE calculation of a relaxed structure of CsB3C3, from the Alexandria database.

The structure belongs to space group Pm-3n (No. 223); the cell edges are 5.0892, 5.0892 and 5.0892 Å and the angles 90.00°, 90.00° and 90.00°. Symmetry generates all atoms from Cs at (0.0000, 0.0000, 0.0000), B at (0.0000, 0.2500, 0.5000) and C at (0.0000, 0.5000, 0.2500).

Its formation enthalpy at 0 K is 1024 meV per atom. Its electronic total energy is -5.9126 eV per atom.

=====

# 19
The following is a PBE calculation of a relaxed structure of ZrSeS, from the Alexandria database.

The structure belongs to space group I4mm (No. 107); the cell edges are 3.4688, 3.4688 and 9.2504 Å and the angles 90.00°, 90.00° and 90.00°. Symmetry generates all atoms from Zr at (0.0000, 0.0000, 0.0000), Se at (0.0000, 0.0000, 0.3277) and S at (0.0000, 0.0000, 0.6280).

Its electronic total energy is -6.5104 eV per atom. The energy above the most stable polymorph in this dataset is 0.305 eV per atom. The value obtained for the uncorrected formation energy is -1.1236 eV per atom.

=====

# 20
The following is a PBE calculation of a relaxed structure of LuCd2Au, from the Alexandria database.

The structure belongs to space group P4/mmm (No. 123); the cell edges are 4.2538, 4.2538 and 4.8782 Å and the angles 90.00°, 90.00° and 90.00°. Symmetry generates all atoms from Lu at (0.0000, 0.0000, 0.0000), Cd at (0.0000, 0.5000, 0.5000) and Au at (0.5000, 0.5000, 0.0000).

Its formation enthalpy at 0 K is -375 meV per atom. Its electronic total energy is -2.7825 eV per atom.